First-principles (PBE) data for an optimized crystal structure of TlPdPb5, as listed in Alexandria.

* ΔE_f: -0.0365 eV per atom
* V: 203 Å³ per cell

a = 4.833 Å, b = 4.833 Å, c = 8.710 Å
α = 90.00°, β = 90.00°, γ = 90.00°
Space group P4/mmm (No. 123)
Asymmetric unit:
Tl  0.000  0.000  0.000 [1 per cell]
Pd  0.500  0.500  0.500 [1 per cell]
Pb  0.000  0.500  0.305 [4 per cell]
Pb  0.500  0.500  0.000 [1 per cell]

***

First-principles (PBE) data for an optimized crystal structure of Nd2Sm6Ho3Tm, as listed in Alexandria.

* ΔE_f: 0.0157 eV per atom
* V: 790 Å³ per cell

a = 6.237 Å, b = 10.799 Å, c = 11.914 Å
α = 90.00°, β = 100.03°, γ = 90.00°
Space group C2/m (No. 12)
Asymmetric unit:
Nd  0.000  0.167  0.000 [4 per cell]
Sm  0.248  0.500  0.747 [4 per cell]
Sm  0.250  0.166  0.747 [8 per cell]
Ho  0.000  0.000  0.500 [2 per cell]
Ho  0.000  0.334  0.500 [4 per cell]
Tm  0.000  0.500  0.000 [2 per cell]

***

First-principles (PBE) data for an optimized crystal structure of Tl2Zn2Ga, as listed in Alexandria.

* ΔE_f: 0.2739 eV per atom
* V: 253 Å³ per cell
* E above lowest polymorph: 0.77 eV/f.u.

a = 4.622 Å, b = 4.622 Å, c = 11.826 Å
α = 90.00°, β = 90.00°, γ = 90.00°
Space group I4/mmm (No. 139)
Asymmetric unit:
Tl  0.000  0.500  0.250 [4 per cell]
Zn  0.000  0.000  0.102 [4 per cell]
Ga  0.000  0.000  0.500 [2 per cell]

***

First-principles (PBE) data for an optimized crystal structure of LaZrSnMo2, as listed in Alexandria.

* ΔE_f: 1.7249 eV per atom
* V: 130 Å³ per cell

a = 4.754 Å, b = 4.754 Å, c = 5.762 Å
α = 90.00°, β = 90.00°, γ = 90.00°
Space group P4/mmm (No. 123)
Asymmetric unit:
La  0.000  0.000  0.000 [1 per cell]
Zr  0.500  0.500  0.500 [1 per cell]
Sn  0.000  0.000  0.500 [1 per cell]
Mo  0.000  0.500  0.000 [2 per cell]

***

First-principles (PBE) data for an optimized crystal structure of Pr6IrPd5, as listed in Alexandria.

* ΔE_f: -0.6454 eV per atom
* V: 643 Å³ per cell

a = 7.334 Å, b = 12.695 Å, c = 7.319 Å
α = 90.00°, β = 109.43°, γ = 90.00°
Space group C2/m (No. 12)
Asymmetric unit:
Pr  0.240  0.000  0.251 [4 per cell]
Pr  0.242  0.162  0.742 [8 per cell]
Ir  0.000  0.000  0.500 [2 per cell]
Pd  0.000  0.172  0.000 [4 per cell]
Pd  0.000  0.335  0.500 [4 per cell]
Pd  0.000  0.500  0.000 [2 per cell]

***

First-principles (PBE) data for an optimized crystal structure of LaBePCl2, as listed in Alexandria.

* V: 174 Å³ per cell
* E above lowest polymorph: 3.94 eV/f.u.

a = 5.435 Å, b = 5.435 Å, c = 5.891 Å
α = 90.00°, β = 90.00°, γ = 90.00°
Space group P4/mmm (No. 123)
Asymmetric unit:
La  0.000  0.000  0.000 [1 per cell]
Be  0.500  0.500  0.500 [1 per cell]
P  0.000  0.000  0.500 [1 per cell]
Cl  0.000  0.500  0.000 [2 per cell]

***

First-principles (PBE) data for an optimized crystal structure of ZrTi2SnB, as listed in Alexandria.

* ΔE_f: -0.4698 eV per atom
* V: 88 Å³ per cell

a = 4.355 Å, b = 4.355 Å, c = 4.623 Å
α = 90.00°, β = 90.00°, γ = 90.00°
Space group P4/mmm (No. 123)
Asymmetric unit:
Zr  0.000  0.000  0.000 [1 per cell]
Ti  0.000  0.500  0.500 [2 per cell]
Sn  0.500  0.500  0.000 [1 per cell]
B  0.000  0.000  0.500 [1 per cell]

***

First-principles (PBE) data for an optimized crystal structure of Pm3HoTm6, as listed in Alexandria.

* ΔE_f: 0.1513 eV per atom
* V: 1280 Å³ per cell
* E above lowest polymorph: 0.00 eV/f.u.

a = 10.972 Å, b = 18.855 Å, c = 6.188 Å
α = 90.00°, β = 90.00°, γ = 90.00°
Space group Cmc2_1 (No. 36)
Asymmetric unit:
Pm  0.000  0.108  0.000 [4 per cell]
Pm  0.172  0.390  0.395 [8 per cell]
Ho  0.000  0.294  0.079 [4 per cell]
Tm  0.000  0.219  0.575 [4 per cell]
Tm  0.000  0.454  0.847 [4 per cell]
Tm  0.164  0.048  0.471 [8 per cell]
Tm  0.249  0.211  0.303 [8 per cell]

***

Q: Which of these has the lowest V?
A: ZrTi2SnB

***

Q: Number 1 is which compound?
A: TlPdPb5

***

Q: Look up the V of the second one.
A: 790 Å³ per cell